# 1
The following is a GGA-PBE calculation of an optimized crystal structure of PmNd2Sb2Te2, from Alexandria via LeMat-Bulk.

Unit cell a=5.8467 b=5.8467 c=8.8526 alpha=109.28 beta=109.28 gamma=90.00
Last column: nearest neighbours and their distance in Å.
Fractional positions:
Sb (0.5000, 0.0000, 0.0000)  2 Pm 2.92
Sb (0.0000, 0.5000, 0.0000)  2 Pm 2.92
Nd (0.3869, 0.3869, 0.7737)  1 Te 2.98
Nd (0.6131, 0.6131, 0.2263)  1 Te 2.98
Te (0.1966, 0.1966, 0.3931)  1 Nd 2.98, 1 Pm 3.08
Te (0.8034, 0.8034, 0.6069)  1 Nd 2.98, 1 Pm 3.08
Pm (0.0000, 0.0000, 0.0000)  4 Sb 2.92, 2 Te 3.08

Output
Formation energy (no corrections) ... -739 meV per atom
Density of states at the Fermi level ... 0.823 states/eV/atom



# 2
The following is a GGA-PBE calculation of an optimized crystal structure of Pm3NdTh2Sb6, from Alexandria via LeMat-Bulk.

Unit cell a=4.5078 b=8.9971 c=10.0669 alpha=102.88 beta=102.94 gamma=90.00
Last column: nearest neighbours and their distance in Å.
Fractional positions:
Sb (0.3331, 0.4166, 0.6662)  3 Pm 3.19, 3 Th 3.19-3.20
Sb (0.3326, 0.9168, 0.6653)  3 Pm 3.18-3.19, 2 Th 3.18, 1 Nd 3.20
Sb (0.0000, 0.7483, 0.0000)  1 Th 3.16, 3 Pm 3.17, 2 Nd 3.20
Sb (0.0000, 0.2517, 0.0000)  1 Th 3.16, 3 Pm 3.17, 2 Nd 3.20
Sb (0.6674, 0.0832, 0.3347)  3 Pm 3.18-3.19, 2 Th 3.18, 1 Nd 3.20
Sb (0.6669, 0.5834, 0.3338)  3 Pm 3.19, 3 Th 3.19-3.20
Nd (0.5000, 0.0000, 0.0000)  6 Sb 3.20
Pm (0.5000, 0.5000, 0.0000)  6 Sb 3.17-3.19
Pm (0.1657, 0.8337, 0.3314)  6 Sb 3.17-3.19
Pm (0.8343, 0.1663, 0.6686)  6 Sb 3.17-3.19
Th (0.1656, 0.3312, 0.3311)  6 Sb 3.16-3.20
Th (0.8344, 0.6688, 0.6689)  6 Sb 3.16-3.20

Output
Formation energy (no corrections) ... -1111 meV per atom
Density of states at the Fermi level ... 0.400 states/eV/atom



# 3
The following is a GGA-PBE calculation of an optimized crystal structure of PmNd3Th2Sb6, from Alexandria via LeMat-Bulk.

Unit cell a=4.5181 b=9.0211 c=10.0949 alpha=102.96 beta=102.93 gamma=90.00
Last column: nearest neighbours and their distance in Å.
Fractional positions:
Sb (0.6663, 0.0841, 0.3326)  2 Th 3.18, 1 Pm 3.18, 3 Nd 3.19-3.21
Sb (0.6674, 0.5824, 0.3349)  3 Th 3.19-3.20, 3 Nd 3.21
Sb (0.3337, 0.9159, 0.6674)  2 Th 3.18, 1 Pm 3.18, 3 Nd 3.19-3.21
Sb (0.9997, 0.7509, 0.9995)  1 Th 3.16, 3 Nd 3.18-3.20, 2 Pm 3.19
Sb (0.0003, 0.2491, 0.0005)  1 Th 3.16, 3 Nd 3.18-3.20, 2 Pm 3.19
Sb (0.3326, 0.4176, 0.6651)  3 Th 3.19-3.20, 3 Nd 3.21
Th (0.8347, 0.6688, 0.6693)  6 Sb 3.16-3.20
Th (0.1653, 0.3312, 0.3307)  6 Sb 3.16-3.20
Nd (0.1660, 0.8340, 0.3320)  6 Sb 3.18-3.21
Nd (0.5000, 0.5000, 0.0000)  6 Sb 3.20-3.21
Nd (0.8340, 0.1660, 0.6680)  6 Sb 3.18-3.21
Pm (0.5000, 0.0000, 0.0000)  6 Sb 3.18-3.19

Output
Formation energy (no corrections) ... -1112 meV per atom
Density of states at the Fermi level ... 0.401 states/eV/atom



# 4
The following is a GGA-PBE calculation of an optimized crystal structure of Pm2NdThSb4, from Alexandria via LeMat-Bulk.

Unit cell a=4.5098 b=7.7929 c=7.7980 alpha=70.53 beta=90.00 gamma=90.00
Last column: nearest neighbours and their distance in Å.
Fractional positions:
Sb (0.5000, 0.7510, 0.2504)  3 Pm 3.17-3.18, 2 Th 3.19, 1 Nd 3.19
Sb (0.0000, 0.7510, 0.7484)  3 Pm 3.18-3.19, 1 Th 3.18, 2 Nd 3.19
Sb (0.5000, 0.2490, 0.7496)  3 Pm 3.17-3.18, 2 Th 3.19, 1 Nd 3.19
Sb (0.0000, 0.2490, 0.2516)  3 Pm 3.18-3.19, 1 Th 3.18, 2 Nd 3.19
Nd (0.5000, 0.5000, 0.0000)  6 Sb 3.19
Pm (0.0000, 0.0000, 0.0000)  6 Sb 3.18-3.19
Pm (0.5000, 0.0000, 0.5000)  6 Sb 3.17-3.18
Th (0.0000, 0.5000, 0.5000)  6 Sb 3.18-3.19

Output
Formation energy (no corrections) ... -1139 meV per atom
Density of states at the Fermi level ... 0.225 states/eV/atom



# 5
The following is a GGA-PBE calculation of an optimized crystal structure of PmNdTh2Sb4, from Alexandria via LeMat-Bulk.

Unit cell a=4.5132 b=7.7961 c=7.8138 alpha=70.41 beta=90.00 gamma=90.00
Last column: nearest neighbours and their distance in Å.
Fractional positions:
Sb (0.0000, 0.2495, 0.2510)  3 Th 3.18-3.19, 1 Pm 3.19, 2 Nd 3.19
Sb (0.5000, 0.7498, 0.2508)  2 Pm 3.18, 3 Th 3.18-3.19, 1 Nd 3.19
Sb (0.5000, 0.2502, 0.7492)  2 Pm 3.18, 3 Th 3.18-3.19, 1 Nd 3.19
Sb (0.0000, 0.7505, 0.7490)  3 Th 3.18-3.19, 1 Pm 3.19, 2 Nd 3.19
Th (0.0000, 0.0000, 0.0000)  6 Sb 3.19
Th (0.5000, 0.0000, 0.5000)  6 Sb 3.18
Nd (0.5000, 0.5000, 0.0000)  6 Sb 3.19
Pm (0.0000, 0.5000, 0.5000)  6 Sb 3.18-3.19

Output
Formation energy (no corrections) ... -1060 meV per atom
Density of states at the Fermi level ... 0.572 states/eV/atom



# 6
The following is a GGA-PBE calculation of an optimized crystal structure of Pm2NdTh3Sb6, from Alexandria via LeMat-Bulk.

Unit cell a=4.5083 b=8.9956 c=10.0761 alpha=102.87 beta=102.93 gamma=90.00
Last column: nearest neighbours and their distance in Å.
Fractional positions:
Th (0.1665, 0.8332, 0.3329)  6 Sb 3.18-3.19
Th (0.5000, 0.5000, 0.0000)  6 Sb 3.18-3.19
Th (0.8335, 0.1668, 0.6671)  6 Sb 3.18-3.19
Sb (0.3331, 0.4172, 0.6662)  3 Pm 3.18, 3 Th 3.19
Sb (0.0003, 0.2509, 0.0007)  3 Th 3.18-3.19, 1 Pm 3.18, 2 Nd 3.19
Sb (0.3330, 0.9159, 0.6660)  2 Pm 3.18, 3 Th 3.18-3.19, 1 Nd 3.19
Sb (0.6670, 0.0841, 0.3340)  2 Pm 3.18, 3 Th 3.18-3.19, 1 Nd 3.19
Sb (0.9997, 0.7491, 0.9993)  3 Th 3.18-3.19, 1 Pm 3.18, 2 Nd 3.19
Sb (0.6669, 0.5828, 0.3338)  3 Pm 3.18, 3 Th 3.19
Pm (0.1668, 0.3333, 0.3335)  6 Sb 3.18
Pm (0.8332, 0.6667, 0.6665)  6 Sb 3.18
Nd (0.5000, 0.0000, 0.0000)  6 Sb 3.19

Output
Formation energy (no corrections) ... -1061 meV per atom
Density of states at the Fermi level ... 0.513 states/eV/atom



# 7
The following is a GGA-PBE calculation of an optimized crystal structure of PmNd2ThSb4, from Alexandria via LeMat-Bulk.

Unit cell a=4.5176 b=7.8142 c=7.8085 alpha=70.54 beta=90.00 gamma=90.00
Last column: nearest neighbours and their distance in Å.
Fractional positions:
Sb (0.0000, 0.2523, 0.2496)  1 Th 3.18, 2 Pm 3.18, 3 Nd 3.20
Sb (0.5000, 0.2517, 0.7496)  1 Pm 3.18, 2 Th 3.19, 3 Nd 3.20
Sb (0.0000, 0.7477, 0.7504)  1 Th 3.18, 2 Pm 3.18, 3 Nd 3.20
Sb (0.5000, 0.7483, 0.2504)  1 Pm 3.18, 2 Th 3.19, 3 Nd 3.20
Pm (0.5000, 0.5000, 0.0000)  6 Sb 3.18
Nd (0.0000, 0.0000, 0.0000)  6 Sb 3.20
Nd (0.5000, 0.0000, 0.5000)  6 Sb 3.20
Th (0.0000, 0.5000, 0.5000)  6 Sb 3.18-3.19

Output
Formation energy (no corrections) ... -1140 meV per atom
Density of states at the Fermi level ... 0.220 states/eV/atom



# 8
The following is a GGA-PBE calculation of an optimized crystal structure of PmNdTh2Sb5, from Alexandria via LeMat-Bulk.

Unit cell a=5.3661 b=5.3661 c=11.6627 alpha=90.00 beta=90.00 gamma=90.00
Last column: nearest neighbours and their distance in Å.
Fractional positions:
Sb (0.5000, 0.5000, 0.0000)  2 Th 3.54, 4 Pm 3.79
Sb (0.0000, 0.5000, 0.5000)  2 Nd 2.68
Sb (0.5000, 0.0000, 0.5000)  2 Nd 2.68
Sb (0.0000, 0.0000, 0.7519)  1 Pm 2.89, 1 Nd 2.94
Sb (0.0000, 0.0000, 0.2481)  1 Pm 2.89, 1 Nd 2.94
Pm (0.0000, 0.0000, 0.0000)  2 Sb 2.89
Th (0.5000, 0.5000, 0.6966)  9 Sb 3.53-3.85
Th (0.5000, 0.5000, 0.3034)  9 Sb 3.53-3.85
Nd (0.0000, 0.0000, 0.5000)  6 Sb 2.68-2.94

Output
Formation energy (no corrections) ... -67 meV per atom
Density of states at the Fermi level ... 0.486 states/eV/atom



# 9
The following is a GGA-PBE calculation of an optimized crystal structure of PmNd2TmSb4, from Alexandria via LeMat-Bulk.

Unit cell a=4.4748 b=7.7417 c=7.7436 alpha=70.50 beta=90.00 gamma=90.00
Last column: nearest neighbours and their distance in Å.
Fractional positions:
Nd (0.5000, 0.0000, 0.5000)  6 Sb 3.17
Nd (0.0000, 0.0000, 0.0000)  6 Sb 3.21
Sb (0.0000, 0.7445, 0.7471)  1 Tm 3.11, 2 Pm 3.15, 3 Nd 3.17-3.21
Sb (0.5000, 0.7411, 0.2576)  2 Tm 3.11, 1 Pm 3.15, 3 Nd 3.17-3.21
Sb (0.0000, 0.2555, 0.2529)  1 Tm 3.11, 2 Pm 3.15, 3 Nd 3.17-3.21
Sb (0.5000, 0.2589, 0.7424)  2 Tm 3.11, 1 Pm 3.15, 3 Nd 3.17-3.21
Pm (0.5000, 0.5000, 0.0000)  6 Sb 3.15
Tm (0.0000, 0.5000, 0.5000)  6 Sb 3.11

Output
Formation energy (no corrections) ... -1151 meV per atom
Density of states at the Fermi level ... 0.130 states/eV/atom



# 10
The following is a GGA-PBE calculation of an optimized crystal structure of PmNdTm2Sb4, from Alexandria via LeMat-Bulk.

Unit cell a=4.4295 b=7.6524 c=7.6667 alpha=70.49 beta=90.00 gamma=90.00
Last column: nearest neighbours and their distance in Å.
Fractional positions:
Tm (0.0000, 0.0000, 0.0000)  6 Sb 3.09
Tm (0.5000, 0.0000, 0.5000)  6 Sb 3.08
Pm (0.0000, 0.5000, 0.5000)  6 Sb 3.17
Sb (0.5000, 0.2388, 0.7528)  3 Tm 3.08-3.09, 2 Pm 3.17, 1 Nd 3.18
Sb (0.0000, 0.2382, 0.2548)  3 Tm 3.08-3.09, 1 Pm 3.17, 2 Nd 3.18
Sb (0.0000, 0.7618, 0.7452)  3 Tm 3.08-3.09, 1 Pm 3.17, 2 Nd 3.18
Sb (0.5000, 0.7612, 0.2472)  3 Tm 3.08-3.09, 2 Pm 3.17, 1 Nd 3.18
Nd (0.5000, 0.5000, 0.0000)  6 Sb 3.18

Output
Formation energy (no corrections) ... -1123 meV per atom
Density of states at the Fermi level ... 0.139 states/eV/atom



# 11
The following is a GGA-PBE calculation of an optimized crystal structure of Pm2NdY3Sb6, from Alexandria via LeMat-Bulk.

Unit cell a=7.7088 b=7.7088 c=7.6957 alpha=99.60 beta=99.60 gamma=120.00
Last column: nearest neighbours and their distance in Å.
Fractional positions:
Y (0.1662, 0.8338, 0.5000)  6 Sb 3.11-3.12
Y (0.5000, 0.5000, 0.5000)  6 Sb 3.11-3.12
Y (0.8338, 0.1662, 0.5000)  6 Sb 3.11-3.12
Pm (0.3332, 0.6668, 0.0000)  6 Sb 3.17
Pm (0.6668, 0.3332, 0.0000)  6 Sb 3.17
Sb (0.0858, 0.4202, 0.2572)  3 Y 3.11-3.12, 2 Pm 3.17, 1 Nd 3.18
Sb (0.7512, 0.7512, 0.2568)  3 Y 3.11-3.12, 2 Pm 3.17, 1 Nd 3.18
Sb (0.5798, 0.9142, 0.7428)  3 Y 3.11-3.12, 2 Pm 3.17, 1 Nd 3.18
Sb (0.2488, 0.2488, 0.7432)  3 Y 3.11-3.12, 2 Pm 3.17, 1 Nd 3.18
Sb (0.4202, 0.0858, 0.2572)  3 Y 3.11-3.12, 2 Pm 3.17, 1 Nd 3.18
Sb (0.9142, 0.5798, 0.7428)  3 Y 3.11-3.12, 2 Pm 3.17, 1 Nd 3.18
Nd (0.0000, 0.0000, 0.0000)  6 Sb 3.18

Output
Formation energy (no corrections) ... -1175 meV per atom
Density of states at the Fermi level ... 0.181 states/eV/atom



# 12
The following is a GGA-PBE calculation of an optimized crystal structure of Pm3Nd2YSb6, from Alexandria via LeMat-Bulk.

Unit cell a=4.4898 b=8.9727 c=10.0333 alpha=102.92 beta=102.93 gamma=90.00
Last column: nearest neighbours and their distance in Å.
Fractional positions:
Sb (0.9990, 0.2451, 0.9979)  2 Y 3.15, 3 Pm 3.17-3.20, 1 Nd 3.18
Sb (0.6648, 0.0807, 0.3295)  1 Y 3.14, 3 Pm 3.16-3.19, 2 Nd 3.18
Sb (0.6664, 0.5842, 0.3327)  3 Pm 3.17, 3 Nd 3.18-3.19
Sb (0.3352, 0.9193, 0.6705)  1 Y 3.14, 3 Pm 3.16-3.19, 2 Nd 3.18
Sb (0.0010, 0.7549, 0.0021)  2 Y 3.15, 3 Pm 3.17-3.20, 1 Nd 3.18
Sb (0.3336, 0.4158, 0.6673)  3 Pm 3.17, 3 Nd 3.18-3.19
Nd (0.8341, 0.6677, 0.6681)  6 Sb 3.18-3.19
Nd (0.1659, 0.3323, 0.3319)  6 Sb 3.18-3.19
Pm (0.5000, 0.5000, 0.0000)  6 Sb 3.17-3.20
Pm (0.8325, 0.1663, 0.6650)  6 Sb 3.16-3.19
Pm (0.1675, 0.8337, 0.3350)  6 Sb 3.16-3.19
Y (0.5000, 0.0000, 0.0000)  6 Sb 3.14-3.15

Output
Formation energy (no corrections) ... -1182 meV per atom
Density of states at the Fermi level ... 0.161 states/eV/atom



Looking at V for the records above, in order, we have 267.6 387.4 390.2 258.4 259.0 387.7 259.9 335.8 252.9 245.0 373.4 383.4 Å³/cell.